First-principles (PBE) data for a relaxed structure of NdHo3Th, as listed in Alexandria via LeMat-Bulk.

space group: C2/m, No. 12
calculated total energy: -50.29 eV per cell
energy of formation from the pure elements: 155 meV/atom

Cell: 8.568 8.568 7.031 Å, 90.06 90.06 140.00°
Sites, in units of the cell vectors:
Nd 0.188 0.812 0.000
Nd 0.812 0.188 0.000
Ho 0.001 0.001 0.256
Ho 0.384 0.615 0.745
Ho 0.385 0.616 0.255
Ho 0.615 0.384 0.745
Ho 0.616 0.385 0.255
Ho 0.999 0.999 0.744
Th 0.193 0.807 0.500
Th 0.807 0.193 0.500